This record from the Alexandria database describes a relaxed Pm2InP3Rh4 crystal. The functional is GGA-PBE.

Its space group is No. 115. Its formation energy is -934 meV/atom. The theoretical density comes out at 8.6 g cm⁻³. The total energy comes out at -6.721 eV/atom.

Cell lengths 4.035, 4.035, 10.844 Å; angles 90.00, 90.00, 90.00 degrees
Element x y z (fractional)
Rh  0.000  0.000  0.000
Rh  0.000  0.500  0.337
Rh  0.500  0.500  0.000
Rh  0.500  0.000  0.663
P  0.500  0.000  0.874
P  0.000  0.000  0.500
P  0.000  0.500  0.126
Pm  0.000  0.500  0.764
Pm  0.500  0.000  0.236
In  0.500  0.500  0.500